# 1
A plane-wave DFT calculation with PBE was carried out for a geometry-optimized InFe2TeW structure. Values from VASP.

Geometry as Quantum ESPRESSO input:
```
&SYSTEM
  ibrav = 0, nat = 5, ntyp = 4
/
ATOMIC_SPECIES
Te 127.60 Te.upf
Fe 55.84 Fe.upf
W 183.84 W.upf
In 114.82 In.upf
ATOMIC_POSITIONS crystal
Te 0.5000 0.5000 0.5000
Fe 0.0000 0.0000 0.5000
Fe 0.5000 0.0000 0.0000
W 0.0000 0.0000 0.0000
In 0.0000 0.5000 0.0000
CELL_PARAMETERS angstrom
-4.4324 -1.3719 -0.0796
1.2226 -3.7378 -3.6557
0.8786 -3.0359 3.3980
```

Calculated values
E	-0.2148	Ha/atom
space group	P4/mmm (123)


# 2
A plane-wave DFT calculation with PBE was carried out for a geometry-optimized BaNiBiP structure. Values from VASP.

Geometry as Quantum ESPRESSO input:
```
&SYSTEM
  ibrav = 0, nat = 8, ntyp = 4
/
ATOMIC_SPECIES
Ba 137.33 Ba.upf
Ni 58.69 Ni.upf
Bi 208.98 Bi.upf
P 30.97 P.upf
ATOMIC_POSITIONS crystal
Ba 0.7500 0.7500 0.2263
Ba 0.2500 0.2500 0.7737
Ni 0.7500 0.2500 0.0000
Ni 0.2500 0.7500 0.0000
Bi 0.2500 0.7500 0.5000
Bi 0.7500 0.2500 0.5000
P 0.7500 0.7500 0.9173
P 0.2500 0.2500 0.0827
CELL_PARAMETERS angstrom
4.2965 0.0000 0.0000
0.0000 4.2965 0.0000
0.0000 0.0000 11.4797
```

Calculated values
E	-0.1782	Ha/atom
space group	P4/nmm (129)
energy relative to the elements	-0.599	eV per atom